## LaAl3Zn (PBE-GGA)

Data for an optimized crystal structure of LaAl3Zn.

Results
* energy: -17.1 eV/cell
* formation energy: 0.06 eV/atom
* density of states at the Fermi level: 1.8 states/eV per cell
* SG: Pm-3m
* theoretical density: 4.157 g cm⁻³

Cell lengths 4.848, 4.848, 4.848 Å; angles 90.00, 90.00, 90.00 degrees
Element x y z (fractional)
La: 0.000 0.000 0.000
Al: 0.000 0.500 0.500
Al: 0.500 0.000 0.500
Al: 0.500 0.500 0.000
Zn: 0.500 0.500 0.500